1.
Density functional theory data (PBE) for an optimized crystal structure of GdHoAg2.

POSCAR file:
```
GdHoAg2
1.0
5.173 0.000 0.000
0.000 5.173 0.000
0.000 0.000 3.621
Gd Ho Ag
1 1 2
Direct
0.000 0.000 0.000
0.500 0.500 0.000
0.000 0.500 0.500
0.500 0.000 0.500
```

DOS(E_F), states/eV per cell: 3.33
Total magnetization, μB/f.u.: 7.15
Energy of formation from the pure elements, eV per atom: -0.315

---

2.
Density functional theory data (PBE) for an optimized crystal structure of K2NaMnZn.

POSCAR file:
```
K2NaMnZn
1.0
6.666 0.000 0.000
0.000 6.666 0.000
0.000 0.000 5.639
K Na Mn Zn
2 1 1 1
Direct
0.000 0.500 0.000
0.500 0.000 0.000
0.000 0.000 0.000
0.000 0.000 0.500
0.500 0.500 0.500
```

DOS(E_F), states/eV per cell: 6.01
Total magnetization, μB/f.u.: 4.50
Energy of formation from the pure elements, eV per atom: 0.832

---

3.
Density functional theory data (PBE) for an optimized crystal structure of TeHIr3.

POSCAR file:
```
TeHIr3
1.0
4.895 0.000 0.000
0.000 4.895 0.000
0.000 0.000 4.895
Te H Ir
1 1 3
Direct
0.000 0.000 0.000
0.500 0.500 0.500
0.000 0.000 0.500
0.000 0.500 0.000
0.500 0.000 0.000
```

DOS(E_F), states/eV per cell: 7.81
Total magnetization, μB/f.u.: 1.46
Energy relative to the lowest polymorph listed for this composition, eV/atom: 1.8565

---

4.
Density functional theory data (PBE) for an optimized crystal structure of BaYMoN2.

POSCAR file:
```
BaYMoN2
1.0
4.704 0.000 0.000
0.000 4.704 0.000
0.000 0.000 5.542
Ba Y Mo N
1 1 1 2
Direct
0.000 0.000 0.000
0.500 0.500 0.500
0.500 0.500 0.000
0.000 0.500 0.500
0.500 0.000 0.500
```

DOS(E_F), states/eV per cell: 3.20
Total magnetization, μB/f.u.: 6.70
Formation energy from raw total energies, eV per atom: 1.202

---

5.
Density functional theory data (PBE) for an optimized crystal structure of Re4SbW.

POSCAR file:
```
Re4SbW
1.0
0.000 3.698 3.698
3.698 0.000 3.698
3.698 3.698 0.000
Re Sb W
4 1 1
Direct
0.125 0.125 0.125
0.125 0.125 0.624
0.125 0.624 0.125
0.624 0.125 0.125
0.500 0.500 0.500
0.750 0.750 0.750
```

DOS(E_F), states/eV per cell: 7.16
Total magnetization, μB/f.u.: 0.00
Formation energy from raw total energies, eV per atom: 0.667

---

6.
Density functional theory data (PBE) for an optimized crystal structure of PrNpRh3.

POSCAR file:
```
PrNpRh3
1.0
6.242 0.000 0.000
-3.121 5.405 0.000
0.000 0.000 6.383
Pr Np Rh
2 2 6
Direct
0.333 0.667 0.249
0.667 0.333 0.751
0.000 0.000 0.000
0.000 0.000 0.500
0.190 0.381 0.750
0.190 0.810 0.750
0.381 0.190 0.250
0.619 0.810 0.750
0.810 0.190 0.250
0.810 0.619 0.250
```

DOS(E_F), states/eV per cell: 12.64
Total magnetization, μB/f.u.: 2.34
Energy of formation from the pure elements, eV per atom: -0.322

---

7.
Density functional theory data (PBE) for an optimized crystal structure of SrSn2Pb3Se6.

POSCAR file:
```
SrSn2Pb3Se6
1.0
9.521 -2.184 0.000
9.521 2.184 0.000
-1.993 0.000 8.510
Sr Sn Pb Se
1 2 3 6
Direct
0.000 0.000 0.000
0.332 0.332 0.666
0.668 0.668 0.334
0.000 0.000 0.500
0.334 0.334 0.168
0.666 0.666 0.832
0.168 0.168 0.090
0.169 0.169 0.579
0.497 0.497 0.748
0.503 0.503 0.252
0.831 0.831 0.421
0.832 0.832 0.910
```

Total magnetization, μB/f.u.: 0.00
Formation energy from raw total energies, eV per atom: -0.765

---

8.
Density functional theory data (PBE) for an optimized crystal structure of CaBe2Nb.

POSCAR file:
```
CaBe2Nb
1.0
6.389 0.000 0.000
0.000 6.389 0.000
0.000 0.000 6.389
Ca Be Nb
4 8 4
Direct
0.000 0.000 0.000
0.000 0.500 0.500
0.500 0.000 0.500
0.500 0.500 0.000
0.250 0.250 0.250
0.250 0.250 0.750
0.250 0.750 0.250
0.250 0.750 0.750
0.750 0.250 0.250
0.750 0.250 0.750
0.750 0.750 0.250
0.750 0.750 0.750
0.000 0.000 0.500
0.000 0.500 0.000
0.500 0.000 0.000
0.500 0.500 0.500
```

DOS(E_F), states/eV per cell: 11.32
Total magnetization, μB/f.u.: 0.00
Energy of formation from the pure elements, eV per atom: 0.530
Energy relative to the lowest polymorph listed for this composition, eV/atom: 0.0000

---

9.
Density functional theory data (PBE) for an optimized crystal structure of Ca2Zn5Ge.

POSCAR file:
```
Ca2Zn5Ge
1.0
2.207 -8.043 0.000
2.207 8.043 0.000
0.000 0.000 8.957
Ca Zn Ge
4 10 2
Direct
0.000 0.000 0.000
0.000 0.000 0.500
0.197 0.803 0.750
0.803 0.197 0.250
0.188 0.812 0.108
0.188 0.812 0.392
0.350 0.650 0.022
0.350 0.650 0.478
0.399 0.601 0.750
0.601 0.399 0.250
0.650 0.350 0.522
0.650 0.350 0.978
0.812 0.188 0.608
0.812 0.188 0.892
0.445 0.555 0.250
0.555 0.445 0.750
```

DOS(E_F), states/eV per cell: 8.81
Total magnetization, μB/f.u.: 0.00
Energy of formation from the pure elements, eV per atom: -0.325

---

10.
Density functional theory data (PBE) for an optimized crystal structure of SrZn2GaOs.

POSCAR file:
```
SrZn2GaOs
1.0
4.895 0.000 0.000
0.000 4.895 0.000
0.000 0.000 4.791
Sr Zn Ga Os
1 2 1 1
Direct
0.000 0.000 0.000
0.000 0.500 0.500
0.500 0.000 0.500
0.500 0.500 0.000
0.500 0.500 0.500
```

DOS(E_F), states/eV per cell: 1.27
Total magnetization, μB/f.u.: 0.00
Energy of formation from the pure elements, eV per atom: -0.166

---

11.
Density functional theory data (PBE) for an optimized crystal structure of NaTiMoRu2.

POSCAR file:
```
NaTiMoRu2
1.0
4.455 0.000 0.000
0.000 4.455 0.000
0.000 0.000 4.428
Na Ti Mo Ru
1 1 1 2
Direct
0.000 0.000 0.000
0.500 0.500 0.500
0.000 0.000 0.500
0.000 0.500 0.000
0.500 0.000 0.000
```

DOS(E_F), states/eV per cell: 7.30
Total magnetization, μB/f.u.: 1.42
Energy of formation from the pure elements, eV per atom: 2.105

---

12.
Density functional theory data (PBE) for an optimized crystal structure of PmMgAgHg.

POSCAR file:
```
PmMgAgHg
1.0
7.196 0.000 0.000
0.000 7.196 0.000
0.000 0.000 7.196
Pm Mg Ag Hg
4 4 4 4
Direct
0.000 0.000 0.000
0.000 0.500 0.500
0.500 0.000 0.500
0.500 0.500 0.000
0.000 0.000 0.500
0.000 0.500 0.000
0.500 0.000 0.000
0.500 0.500 0.500
0.250 0.250 0.750
0.250 0.750 0.250
0.750 0.250 0.250
0.750 0.750 0.750
0.250 0.250 0.250
0.250 0.750 0.750
0.750 0.250 0.750
0.750 0.750 0.250
```

DOS(E_F), states/eV per cell: 8.19
Total magnetization, μB/f.u.: 0.00
Energy of formation from the pure elements, eV per atom: -0.397

---

13.
Density functional theory data (PBE) for an optimized crystal structure of Na3MnOs.

POSCAR file:
```
Na3MnOs
1.0
5.464 0.000 0.000
0.000 5.464 0.000
0.000 0.000 5.464
Na Mn Os
3 1 1
Direct
0.000 0.000 0.500
0.000 0.500 0.000
0.500 0.000 0.000
0.500 0.500 0.500
0.000 0.000 0.000
```

DOS(E_F), states/eV per cell: 3.99
Total magnetization, μB/f.u.: 6.09
Energy of formation from the pure elements, eV per atom: 1.659
Energy relative to the lowest polymorph listed for this composition, eV/atom: 0.0000

---

14.
Density functional theory data (PBE) for an optimized crystal structure of CoTcOs2.

POSCAR file:
```
CoTcOs2
1.0
3.802 0.000 0.000
0.000 3.802 0.000
0.000 0.000 7.472
Co Tc Os
2 2 4
Direct
0.000 0.000 0.000
0.500 0.500 0.500
0.000 0.000 0.500
0.500 0.500 0.000
0.000 0.500 0.250
0.000 0.500 0.750
0.500 0.000 0.250
0.500 0.000 0.750
```

DOS(E_F), states/eV per cell: 7.78
Total magnetization, μB/f.u.: 0.00
Energy of formation from the pure elements, eV per atom: 0.104
Energy relative to the lowest polymorph listed for this composition, eV/atom: 0.0034

---

15.
Density functional theory data (PBE) for an optimized crystal structure of TaCrCd2Ga.

POSCAR file:
```
TaCrCd2Ga
1.0
5.184 0.000 0.000
0.000 5.184 0.000
0.000 0.000 4.392
Ta Cr Cd Ga
1 1 2 1
Direct
0.000 0.000 0.000
0.000 0.000 0.500
0.000 0.500 0.500
0.500 0.000 0.500
0.500 0.500 0.000
```

DOS(E_F), states/eV per cell: 4.17
Total magnetization, μB/f.u.: 0.29
Energy of formation from the pure elements, eV per atom: 0.973

---

16.
Density functional theory data (PBE) for an optimized crystal structure of Sr2Al3PtAu12.

POSCAR file:
```
Sr2Al3PtAu12
1.0
4.317 2.493 6.758
-4.317 2.493 6.758
0.000 -4.985 6.758
Sr Al Pt Au
2 3 1 12
Direct
0.120 0.120 0.120
0.880 0.880 0.880
0.000 0.500 0.500
0.500 0.000 0.500
0.500 0.500 0.000
0.500 0.500 0.500
0.125 0.621 0.621
0.143 0.143 0.613
0.143 0.613 0.143
0.379 0.379 0.875
0.379 0.875 0.379
0.387 0.857 0.857
0.613 0.143 0.143
0.621 0.125 0.621
0.621 0.621 0.125
0.857 0.387 0.857
0.857 0.857 0.387
0.875 0.379 0.379
```

DOS(E_F), states/eV per cell: 7.22
Total magnetization, μB/f.u.: 0.00
Energy of formation from the pure elements, eV per atom: -0.145

---

17.
Density functional theory data (PBE) for an optimized crystal structure of TaSe5.

POSCAR file:
```
TaSe5
1.0
5.010 0.000 0.000
-2.505 4.339 0.000
0.000 0.000 7.617
Ta Se
1 5
Direct
0.000 0.000 0.000
0.000 0.500 0.500
0.333 0.667 0.000
0.500 0.000 0.500
0.500 0.500 0.500
0.667 0.333 0.000
```

DOS(E_F), states/eV per cell: 4.77
Total magnetization, μB/f.u.: 0.18
Formation energy from raw total energies, eV per atom: 0.619

---

18.
Density functional theory data (PBE) for an optimized crystal structure of SrSc2W.

POSCAR file:
```
SrSc2W
1.0
3.414 0.000 0.000
-1.707 2.957 0.000
0.000 0.000 31.331
Sr Sc W
3 6 3
Direct
0.000 0.000 0.000
0.333 0.667 0.667
0.667 0.333 0.333
0.000 0.000 0.229
0.000 0.000 0.771
0.333 0.667 0.437
0.333 0.667 0.896
0.667 0.333 0.104
0.667 0.333 0.563
0.000 0.000 0.500
0.333 0.667 0.167
0.667 0.333 0.833
```

DOS(E_F), states/eV per cell: 18.77
Total magnetization, μB/f.u.: 0.00
Energy of formation from the pure elements, eV per atom: 0.561
Energy relative to the lowest polymorph listed for this composition, eV/atom: 0.1982

---

19.
Density functional theory data (PBE) for an optimized crystal structure of KVBrCl2.

POSCAR file:
```
KVBrCl2
1.0
-3.433 3.433 5.389
3.433 -3.433 5.389
3.433 3.433 -5.389
K V Br Cl
2 2 2 4
Direct
0.250 0.750 0.500
0.750 0.250 0.500
0.000 0.000 0.000
0.500 0.500 0.000
0.250 0.250 0.000
0.750 0.750 0.000
0.188 0.688 0.876
0.312 0.188 0.500
0.688 0.812 0.500
0.812 0.312 0.124
```

DOS(E_F), states/eV per cell: 1.89
Total magnetization, μB/f.u.: 3.00
Formation energy from raw total energies, eV per atom: -1.326
Energy relative to the lowest polymorph listed for this composition, eV/atom: 0.0000

---

20.
Density functional theory data (PBE) for an optimized crystal structure of KHgS5.

POSCAR file:
```
KHgS5
1.0
3.187 -8.709 0.000
3.187 8.709 0.000
-2.991 0.000 7.955
K Hg S
2 2 10
Direct
0.107 0.893 0.750
0.893 0.107 0.250
0.000 0.500 0.000
0.500 0.000 0.500
0.046 0.347 0.663
0.086 0.914 0.250
0.328 0.593 0.122
0.347 0.046 0.163
0.407 0.672 0.378
0.593 0.328 0.622
0.653 0.954 0.837
0.672 0.407 0.878
0.914 0.086 0.750
0.954 0.653 0.337
```

DOS(E_F), states/eV per cell: 5.03
Total magnetization, μB/f.u.: 0.55
Formation energy from raw total energies, eV per atom: -0.215